No. 1
Below is crystalline In5GaPb4 at its relaxed geometry, with properties calculated at the PBE level.

Structure (CIF):
```
data_In5GaPb4
_chemical_formula_sum 'In5 Ga1 Pb4'
_space_group_name_H-M_alt 'P 4/m m m'
_space_group_IT_number 123
_space_group_name_Hall '-P 4 2'
_cell_length_a 3.333
_cell_length_b 3.333
_cell_length_c 25.759
_cell_angle_alpha 90.00
_cell_angle_beta 90.00
_cell_angle_gamma 90.00
loop_
_atom_site_label
_atom_site_type_symbol
_atom_site_fract_x
_atom_site_fract_y
_atom_site_fract_z
In1 In 0.000 0.000 0.000
In2 In 0.000 0.000 0.208
In3 In 0.000 0.000 0.416
Ga1 Ga 0.500 0.500 0.500
Pb1 Pb 0.500 0.500 0.104
Pb2 Pb 0.500 0.500 0.314
```

Summary:
Total energy ... -3.12 eV per atom
Volume ... 286.1 Å³/cell
Formation energy ... 33 meV per atom

***

No. 2
Below is crystalline InGaPb at its relaxed geometry, with properties calculated at the PBE level.

Structure (CIF):
```
data_InGaPb
_chemical_formula_sum 'In4 Ga4 Pb4'
_space_group_name_H-M_alt 'F -4 3 m'
_space_group_IT_number 216
_space_group_name_Hall 'F -4 2 3'
_cell_length_a 6.991
_cell_length_b 6.991
_cell_length_c 6.991
_cell_angle_alpha 90.00
_cell_angle_beta 90.00
_cell_angle_gamma 90.00
loop_
_atom_site_label
_atom_site_type_symbol
_atom_site_fract_x
_atom_site_fract_y
_atom_site_fract_z
In1 In 0.000 0.000 0.000
Ga1 Ga 0.250 0.250 0.250
Pb1 Pb 0.000 0.000 0.500
```

Summary:
Total energy ... -3.09 eV per atom
Offset from the most stable computed form ... 45 meV per atom
Volume ... 341.6 Å³/cell
Formation energy ... 73 meV per atom

***

No. 3
Below is crystalline In10Ga3Pb at its relaxed geometry, with properties calculated at the PBE level.

Structure (CIF):
```
data_In10Ga3Pb
_chemical_formula_sum 'In80 Ga24 Pb8'
_space_group_name_H-M_alt 'F m -3 m'
_space_group_IT_number 225
_space_group_name_Hall '-F 4 2 3'
_cell_length_a 14.559
_cell_length_b 14.559
_cell_length_c 14.559
_cell_angle_alpha 90.00
_cell_angle_beta 90.00
_cell_angle_gamma 90.00
loop_
_atom_site_label
_atom_site_type_symbol
_atom_site_fract_x
_atom_site_fract_y
_atom_site_fract_z
In1 In 0.000 0.173 0.173
In2 In 0.122 0.122 0.378
Ga1 Ga 0.000 0.000 0.270
Pb1 Pb 0.250 0.250 0.250
```

Summary:
Total energy ... -2.79 eV per atom
Volume ... 3086.1 Å³/cell
Formation energy ... 77 meV per atom

***

No. 4
Below is crystalline In8Ga3Pb3 at its relaxed geometry, with properties calculated at the PBE level.

Structure (CIF):
```
data_In8Ga3Pb3
_chemical_formula_sum 'In16 Ga6 Pb6'
_space_group_name_H-M_alt 'I m m m'
_space_group_IT_number 71
_space_group_name_Hall '-I 2 2'
_cell_length_a 4.851
_cell_length_b 11.555
_cell_length_c 13.392
_cell_angle_alpha 90.00
_cell_angle_beta 90.00
_cell_angle_gamma 90.00
loop_
_atom_site_label
_atom_site_type_symbol
_atom_site_fract_x
_atom_site_fract_y
_atom_site_fract_z
In1 In 0.000 0.139 0.123
In2 In 0.000 0.195 0.352
Ga1 Ga 0.000 0.000 0.500
Ga2 Ga 0.000 0.369 0.000
Pb1 Pb 0.000 0.500 0.223
Pb2 Pb 0.000 0.500 0.500
```

Summary:
Total energy ... -2.96 eV per atom
Volume ... 750.7 Å³/cell
Formation energy ... 49 meV per atom

***

No. 5
Below is crystalline InGa3Pb at its relaxed geometry, with properties calculated at the PBE level.

Structure (CIF):
```
data_InGa3Pb
_chemical_formula_sum 'In1 Ga3 Pb1'
_space_group_name_H-M_alt 'P m -3 m'
_space_group_IT_number 221
_space_group_name_Hall '-P 4 2 3'
_cell_length_a 5.285
_cell_length_b 5.285
_cell_length_c 5.285
_cell_angle_alpha 90.00
_cell_angle_beta 90.00
_cell_angle_gamma 90.00
loop_
_atom_site_label
_atom_site_type_symbol
_atom_site_fract_x
_atom_site_fract_y
_atom_site_fract_z
In1 In 0.000 0.000 0.000
Ga1 Ga 0.000 0.000 0.500
Pb1 Pb 0.500 0.500 0.500
```

Summary:
Total energy ... -2.65 eV per atom
Offset from the most stable computed form ... 415 meV per atom
Volume ... 147.6 Å³/cell
Formation energy ... 451 meV per atom

***

No. 6
Below is crystalline In3GaPb at its relaxed geometry, with properties calculated at the PBE level.

Structure (CIF):
```
data_In3GaPb
_chemical_formula_sum 'In6 Ga2 Pb2'
_space_group_name_H-M_alt 'P 1 21/m 1'
_space_group_IT_number 11
_space_group_name_Hall '-P 2yb'
_cell_length_a 8.850
_cell_length_b 3.448
_cell_length_c 9.139
_cell_angle_alpha 90.00
_cell_angle_beta 106.72
_cell_angle_gamma 90.00
loop_
_atom_site_label
_atom_site_type_symbol
_atom_site_fract_x
_atom_site_fract_y
_atom_site_fract_z
In1 In 0.142 0.250 0.121
In2 In 0.197 0.750 0.522
In3 In 0.346 0.750 0.915
Ga1 Ga 0.073 0.250 0.746
Pb1 Pb 0.465 0.750 0.320
```

Summary:
Total energy ... -2.96 eV per atom
Offset from the most stable computed form ... 0 meV per atom
Volume ... 267.1 Å³/cell
Formation energy ... 34 meV per atom

***

No. 7
Below is crystalline In5Ga2Pb at its relaxed geometry, with properties calculated at the PBE level.

Structure (CIF):
```
data_In5Ga2Pb
_chemical_formula_sum 'In10 Ga4 Pb2'
_space_group_name_H-M_alt 'C 1 2/m 1'
_space_group_IT_number 12
_space_group_name_Hall '-C 2y'
_cell_length_a 13.094
_cell_length_b 9.862
_cell_length_c 3.300
_cell_angle_alpha 90.00
_cell_angle_beta 103.64
_cell_angle_gamma 90.00
loop_
_atom_site_label
_atom_site_type_symbol
_atom_site_fract_x
_atom_site_fract_y
_atom_site_fract_z
In1 In 0.000 0.000 0.000
In2 In 0.133 0.235 0.629
Ga1 Ga 0.247 0.500 0.763
Pb1 Pb 0.000 0.500 0.000
```

Summary:
Total energy ... -2.88 eV per atom
Volume ... 414.1 Å³/cell
Formation energy ... 51 meV per atom

***

No. 8
Below is crystalline In3GaPb at its relaxed geometry, with properties calculated at the PBE level.

Structure (CIF):
```
data_In3GaPb
_chemical_formula_sum 'In3 Ga1 Pb1'
_space_group_name_H-M_alt 'P m -3 m'
_space_group_IT_number 221
_space_group_name_Hall '-P 4 2 3'
_cell_length_a 5.883
_cell_length_b 5.883
_cell_length_c 5.883
_cell_angle_alpha 90.00
_cell_angle_beta 90.00
_cell_angle_gamma 90.00
loop_
_atom_site_label
_atom_site_type_symbol
_atom_site_fract_x
_atom_site_fract_y
_atom_site_fract_z
In1 In 0.000 0.000 0.500
Ga1 Ga 0.500 0.500 0.500
Pb1 Pb 0.000 0.000 0.000
```

Summary:
Total energy ... -2.37 eV per atom
Offset from the most stable computed form ... 588 meV per atom
Volume ... 203.6 Å³/cell
Formation energy ... 622 meV per atom